# 1
# ZrAl | Alexandria via LeMat-Bulk | GGA-PBE | relaxed
# Formation energy: -321 meV per atom
# Total DFT energy (no corrections): -77.59 eV per cell
data_ZrAl
_cell_length_a 10.920
_cell_length_b 3.203
_cell_length_c 7.123
_cell_angle_alpha 90.00
_cell_angle_beta 108.67
_cell_angle_gamma 90.00
_symmetry_space_group_name_H-M 'C 1 m 1'
_symmetry_Int_Tables_number 8
loop_
_symmetry_equiv_pos_as_xyz
'x,y,z'
'x,-y,z'
'x+1/2,y+1/2,z'
'x+1/2,-y+1/2,z'
loop_
_atom_site_label
_atom_site_type_symbol
_atom_site_fract_x
_atom_site_fract_y
_atom_site_fract_z
_atom_site_occupancy
Zr1 Zr 0.000 0.000 0.000 1
Zr2 Zr 0.005 0.000 0.563 1
Zr3 Zr 0.173 0.500 0.350 1
Al1 Al 0.195 0.500 0.909 1
Al2 Al 0.308 0.000 0.696 1
Al3 Al 0.362 0.000 0.211 1



# 2
# Tb2Zn3Ag6 | Alexandria via LeMat-Bulk | GGA-PBE | relaxed
# Formation energy: -143 meV per atom
# Total DFT energy (no corrections): -31.76 eV per cell
data_Tb2Zn3Ag6
_cell_length_a 7.6843
_cell_length_b 7.6843
_cell_length_c 4.3885
_cell_angle_alpha 90.00
_cell_angle_beta 90.00
_cell_angle_gamma 120.00
_symmetry_space_group_name_H-M 'P -6 2 m'
_symmetry_Int_Tables_number 189
_symmetry_space_group_name_Hall 'P -6 -2'
loop_
_atom_site_label
_atom_site_type_symbol
_atom_site_fract_x
_atom_site_fract_y
_atom_site_fract_z
_atom_site_occupancy
Tb1 Tb 0.3333 0.6667 0.0000 1
Zn1 Zn 0.0000 0.5994 0.5000 1
Ag1 Ag 0.0000 0.2679 0.5000 1
Ag2 Ag 0.0000 0.7855 0.0000 1



# 3
# LaSm12Al4O3 | Alexandria via LeMat-Bulk | GGA-PBE | relaxed
# Total DFT energy (no corrections): -211.09 eV per cell
data_LaSm12Al4O3
_cell_length_a 10.004
_cell_length_b 10.004
_cell_length_c 10.004
_cell_angle_alpha 90.00
_cell_angle_beta 90.00
_cell_angle_gamma 90.00
_symmetry_space_group_name_H-M 'I m -3 m'
_symmetry_Int_Tables_number 229
_symmetry_space_group_name_Hall '-I 4 2 3'
loop_
_atom_site_label
_atom_site_type_symbol
_atom_site_fract_x
_atom_site_fract_y
_atom_site_fract_z
_atom_site_occupancy
La1 La 0.000 0.000 0.000 1
Sm1 Sm 0.000 0.000 0.272 1
Sm2 Sm 0.000 0.250 0.500 1
Al1 Al 0.250 0.250 0.250 1
O1 O 0.000 0.000 0.500 1



# 4
# Ce2HoAu3 | Alexandria via LeMat-Bulk | GGA-PBE | relaxed
# Formation energy: -674 meV per atom
# Total DFT energy (no corrections): -60.64 eV per cell
data_Ce2HoAu3
_cell_length_a 5.1627
_cell_length_b 5.1627
_cell_length_c 12.7469
_cell_angle_alpha 90.00
_cell_angle_beta 90.00
_cell_angle_gamma 120.00
_symmetry_space_group_name_H-M 'P -3 m 1'
_symmetry_Int_Tables_number 164
_symmetry_space_group_name_Hall '-P 3 2"'
loop_
_atom_site_label
_atom_site_type_symbol
_atom_site_fract_x
_atom_site_fract_y
_atom_site_fract_z
_atom_site_occupancy
Ce1 Ce 0.0000 0.0000 0.0000 1
Ce2 Ce 0.0000 0.0000 0.5000 1
Ce3 Ce 0.3333 0.6667 0.1638 1
Ho1 Ho 0.3333 0.6667 0.6647 1
Au1 Au 0.0000 0.0000 0.2565 1
Au2 Au 0.3333 0.6667 0.4127 1
Au3 Au 0.3333 0.6667 0.9061 1



# 5
# VFePbSe2 | Alexandria via LeMat-Bulk | GGA-PBE | relaxed
# Total DFT energy (no corrections): -23.95 eV per cell
data_VFePbSe2
_cell_length_a 4.580
_cell_length_b 4.580
_cell_length_c 5.158
_cell_angle_alpha 90.00
_cell_angle_beta 90.00
_cell_angle_gamma 90.00
_symmetry_space_group_name_H-M 'P 4/m m m'
_symmetry_Int_Tables_number 123
_symmetry_space_group_name_Hall '-P 4 2'
loop_
_atom_site_label
_atom_site_type_symbol
_atom_site_fract_x
_atom_site_fract_y
_atom_site_fract_z
_atom_site_occupancy
V1 V 0.000 0.000 0.000 1
Fe1 Fe 0.500 0.500 0.500 1
Pb1 Pb 0.500 0.500 0.000 1
Se1 Se 0.000 0.500 0.500 1



# 6
# TaMnNi6 | Alexandria via LeMat-Bulk | GGA-PBE | relaxed
# Formation energy: -234 meV per atom
# Total DFT energy (no corrections): -460.65 eV per cell
data_TaMnNi6
_cell_length_a 7.254
_cell_length_b 10.257
_cell_length_c 10.255
_cell_angle_alpha 90.00
_cell_angle_beta 90.00
_cell_angle_gamma 90.00
_symmetry_space_group_name_H-M 'C m m m'
_symmetry_Int_Tables_number 65
_symmetry_space_group_name_Hall '-C 2 2'
loop_
_atom_site_label
_atom_site_type_symbol
_atom_site_fract_x
_atom_site_fract_y
_atom_site_fract_z
_atom_site_occupancy
Ta1 Ta 0.000 0.000 0.245 1
Ta2 Ta 0.000 0.248 0.500 1
Mn1 Mn 0.000 0.248 0.000 1
Mn2 Mn 0.000 0.500 0.244 1
Ni1 Ni 0.000 0.000 0.000 1
Ni2 Ni 0.000 0.000 0.500 1
Ni3 Ni 0.000 0.251 0.249 1
Ni4 Ni 0.000 0.500 0.000 1
Ni5 Ni 0.000 0.500 0.500 1
Ni6 Ni 0.248 0.374 0.124 1
Ni7 Ni 0.248 0.376 0.374 1



Number 1: ρ 4.99 Mg/m³. Number 2: ρ 8.59 Mg/m³. Number 3: ρ 6.96 Mg/m³. Number 4: ρ 11.69 Mg/m³. Number 5: ρ 7.24 Mg/m³. Number 6: ρ 10.24 Mg/m³.